This record from Alexandria via LeMat-Bulk describes a relaxed structure of La12PmEr3. The functional is PBE-GGA.

Cell lengths 5.2065, 5.2065, 20.8187 Å; angles 90.00, 90.00, 90.00 degrees
With the nearest neighbours (Å) after each atom.
Space group P4/mmm (No. 123)
One atom of each set of equivalent atoms:
La 0.0000 0.0000 0.0000 [1 per cell]  8 La 3.67, 4 Er 3.68
La 0.0000 0.0000 0.2491 [2 per cell]  8 La 3.68, 4 Er 3.68
La 0.0000 0.0000 0.5000 [1 per cell]  4 Pm 3.68, 8 La 3.70
La 0.0000 0.5000 0.1244 [4 per cell]  8 La 3.67-3.68, 4 Er 3.67-3.68
La 0.0000 0.5000 0.3738 [4 per cell]  8 La 3.68-3.70, 2 Er 3.68, 2 Pm 3.70
Pm 0.5000 0.5000 0.5000 [1 per cell]  12 La 3.68-3.70
Er 0.5000 0.5000 0.0000 [1 per cell]  12 La 3.67-3.68
Er 0.5000 0.5000 0.2490 [2 per cell]  12 La 3.68

ΔE_f = 0.0077 eV per atom